[1]
VASP calculation (PBE) on an optimized crystal structure of GePb2Au2.

The calculation puts the energy relative to the lowest polymorph listed for this composition at 138 meV per atom. The calculation puts the calculated formation energy at 116.9 meV per atom. For the volume, the calculation gives 254.2 Å³ per cell.

The structure belongs to space group I4/mmm (No. 139); the cell edges are 3.842, 3.842 and 17.225 Å and the angles 90.00°, 90.00° and 90.00°. The distinct sites, in fractional coordinates, are Ge at (0.000, 0.000, 0.000), Pb at (0.000, 0.000, 0.397) and Au at (0.000, 0.500, 0.250).

[2]
VASP calculation (PBE) on an optimized crystal structure of SiHgPdC2.

For the volume, the calculation gives 91.1 Å³ per cell.

The structure belongs to space group P4/mmm (No. 123); the cell edges are 3.910, 3.910 and 5.960 Å and the angles 90.00°, 90.00° and 90.00°. The distinct sites, in fractional coordinates, are Si at (0.000, 0.000, 0.000), Hg at (0.500, 0.500, 0.000), Pd at (0.500, 0.500, 0.500) and C at (0.000, 0.500, 0.500).

[3]
VASP calculation (PBE) on an optimized crystal structure of BeSiAu2.

For the volume, the calculation gives 62.4 Å³ per cell.

The structure belongs to space group P2/m (No. 10); the cell edges are 2.833, 2.863 and 7.721 Å and the angles 90.00°, 95.23° and 90.00°. The distinct sites, in fractional coordinates, are Be at (0.000, 0.000, 0.000), Si at (0.500, 0.000, 0.500) and Au at (0.467, 0.500, 0.801).

[4]
VASP calculation (PBE) on an optimized crystal structure of Dy2YHg3.

The calculation puts the calculated formation energy at -489.0 meV per atom. For the volume, the calculation gives 155.0 Å³ per cell.

The structure belongs to space group P-3m1 (No. 164); the cell edges are 5.2606, 5.2606 and 6.4693 Å and the angles 90.00°, 90.00° and 120.00°. The distinct sites, in fractional coordinates, are Dy at (0.3333, 0.6667, 0.1667), Y at (0.0000, 0.0000, 0.5000), Hg at (0.0000, 0.0000, 0.0000) and Hg at (0.3333, 0.6667, 0.6677).

[5]
VASP calculation (PBE) on an optimized crystal structure of BaCaRe.

The calculation puts the energy relative to the lowest polymorph listed for this composition at 0 meV per atom. The calculation puts the calculated formation energy at 989.8 meV per atom. For the volume, the calculation gives 191.1 Å³ per cell.

The structure belongs to space group I4mm (No. 107); the cell edges are 3.508, 3.508 and 15.532 Å and the angles 90.00°, 90.00° and 90.00°. The distinct sites, in fractional coordinates, are Ba at (0.000, 0.000, 0.000), Ca at (0.000, 0.000, 0.746) and Re at (0.000, 0.000, 0.361).

[6]
VASP calculation (PBE) on an optimized crystal structure of Ac2YBiO6.

For the volume, the calculation gives 188.5 Å³ per cell.

The structure belongs to space group P4mm (No. 99); the cell edges are 5.737, 5.737 and 5.727 Å and the angles 90.00°, 90.00° and 90.00°. The distinct sites, in fractional coordinates, are Ac at (0.000, 0.500, 0.000), Y at (0.000, 0.000, 0.579), Bi at (0.500, 0.500, 0.570), O at (0.000, 0.000, 0.201), O at (0.246, 0.246, 0.747) and O at (0.500, 0.500, 0.166).

[7]
VASP calculation (PBE) on an optimized crystal structure of Be3CuPd.

The calculation puts the energy relative to the lowest polymorph listed for this composition at 142 meV per atom. The calculation puts the calculated formation energy at 594.1 meV per atom. For the volume, the calculation gives 73.0 Å³ per cell.

The structure belongs to space group Pm-3m (No. 221); the cell edges are 4.179, 4.179 and 4.179 Å and the angles 90.00°, 90.00° and 90.00°. The distinct sites, in fractional coordinates, are Be at (0.000, 0.000, 0.500), Cu at (0.500, 0.500, 0.500) and Pd at (0.000, 0.000, 0.000).

[8]
VASP calculation (PBE) on an optimized crystal structure of Pm4Pr3Sm4.

The calculation puts the energy relative to the lowest polymorph listed for this composition at 0 meV per atom. The calculation puts the calculated formation energy at 146.4 meV per atom. For the volume, the calculation gives 776.3 Å³ per cell.

The structure belongs to space group Amm2 (No. 38); the cell edges are 10.881, 5.840 and 12.215 Å and the angles 90.00°, 90.00° and 90.00°. The distinct sites, in fractional coordinates, are Pm at (0.000, 0.000, 0.000), Pm at (0.212, 0.000, 0.795), Pm at (0.500, 0.000, 0.931), Pr at (0.000, 0.000, 0.297), Pr at (0.296, 0.000, 0.448), Sm at (0.000, 0.000, 0.596), Sm at (0.298, 0.000, 0.145) and Sm at (0.500, 0.000, 0.658).

[9]
VASP calculation (PBE) on an optimized crystal structure of Sm4Mg2O.

For the volume, the calculation gives 386.9 Å³ per cell.

The structure belongs to space group I4/mmm (No. 139); the cell edges are 4.908, 4.908 and 16.064 Å and the angles 90.00°, 90.00° and 90.00°. The distinct sites, in fractional coordinates, are Sm at (0.000, 0.000, 0.157), Sm at (0.000, 0.500, 0.000), Mg at (0.000, 0.000, 0.364) and O at (0.000, 0.000, 0.000).

[10]
VASP calculation (PBE) on an optimized crystal structure of Ba2TlW.

The calculation puts the energy relative to the lowest polymorph listed for this composition at 255 meV per atom. The calculation puts the calculated formation energy at 996.2 meV per atom. For the volume, the calculation gives 256.0 Å³ per cell.

The structure belongs to space group C2/m (No. 12); the cell edges are 6.809, 3.277 and 11.514 Å and the angles 90.00°, 94.88° and 90.00°. The distinct sites, in fractional coordinates, are Ba at (0.246, 0.000, 0.278), Tl at (0.000, 0.500, 0.000) and W at (0.000, 0.000, 0.500).

[11]
VASP calculation (PBE) on an optimized crystal structure of TeSe2IBr.

The calculation puts the energy relative to the lowest polymorph listed for this composition at 0 meV per atom. For the volume, the calculation gives 165.6 Å³ per cell.

The structure belongs to space group P4/mmm (No. 123); the cell edges are 5.506, 5.506 and 5.464 Å and the angles 90.00°, 90.00° and 90.00°. The distinct sites, in fractional coordinates, are Te at (0.000, 0.000, 0.000), Se at (0.000, 0.500, 0.000), I at (0.500, 0.500, 0.500) and Br at (0.000, 0.000, 0.500).

[12]
VASP calculation (PBE) on an optimized crystal structure of Li2CdRhF8.

For the volume, the calculation gives 307.8 Å³ per cell.

The structure belongs to space group C2/m (No. 12); the cell edges are 6.808, 6.666 and 6.781 Å and the angles 90.00°, 90.08° and 90.00°. The distinct sites, in fractional coordinates, are Li at (0.001, 0.000, 0.223), Cd at (0.000, 0.500, 0.000), Rh at (0.000, 0.500, 0.500), F at (0.000, 0.299, 0.287), F at (0.187, 0.000, 0.000) and F at (0.218, 0.000, 0.500).

[13]
VASP calculation (PBE) on an optimized crystal structure of Co3Sb12Ru5.

For the volume, the calculation gives 3666.1 Å³ per cell.

The structure belongs to space group Ia-3d (No. 230); the cell edges are 15.419, 15.419 and 15.419 Å and the angles 90.00°, 90.00° and 90.00°. The distinct sites, in fractional coordinates, are Co at (0.000, 0.250, 0.125), Sb at (0.025, 0.081, 0.649), Ru at (0.000, 0.000, 0.000) and Ru at (0.000, 0.250, 0.375).

[14]
VASP calculation (PBE) on an optimized crystal structure of Ca2BP.

The calculation puts the energy relative to the lowest polymorph listed for this composition at 0 meV per atom. The calculation puts the calculated formation energy at 20.0 meV per atom. For the volume, the calculation gives 317.3 Å³ per cell.

The structure belongs to space group Fm-3m (No. 225); the cell edges are 6.821, 6.821 and 6.821 Å and the angles 90.00°, 90.00° and 90.00°. The distinct sites, in fractional coordinates, are Ca at (0.250, 0.250, 0.250), B at (0.000, 0.000, 0.000) and P at (0.000, 0.000, 0.500).

[15]
VASP calculation (PBE) on an optimized crystal structure of Pr5CdIn3.

The calculation puts the calculated formation energy at -393.5 meV per atom. For the volume, the calculation gives 556.0 Å³ per cell.

The structure belongs to space group P6_3/mcm (No. 193); the cell edges are 9.6924, 9.6924 and 6.8346 Å and the angles 90.00°, 90.00° and 120.00°. The distinct sites, in fractional coordinates, are Pr at (0.0000, 0.2955, 0.2500), Pr at (0.3333, 0.6667, 0.0000), Cd at (0.0000, 0.0000, 0.0000) and In at (0.0000, 0.3649, 0.7500).

[16]
VASP calculation (PBE) on an optimized crystal structure of TaCoRh2.

The calculation puts the calculated formation energy at -262.7 meV per atom. For the volume, the calculation gives 58.3 Å³ per cell.

The structure belongs to space group P4/mmm (No. 123); the cell edges are 3.240, 3.240 and 5.554 Å and the angles 90.00°, 90.00° and 90.00°. The distinct sites, in fractional coordinates, are Ta at (0.000, 0.000, 0.000), Co at (0.000, 0.000, 0.500) and Rh at (0.500, 0.500, 0.260).

[17]
VASP calculation (PBE) on an optimized crystal structure of Li2TbCdAu2.

The calculation puts the calculated formation energy at -552.5 meV per atom. For the volume, the calculation gives 117.3 Å³ per cell.

The structure belongs to space group P-3m1 (No. 164); the cell edges are 4.5534, 4.5534 and 6.5315 Å and the angles 90.00°, 90.00° and 120.00°. The distinct sites, in fractional coordinates, are Li at (0.3333, 0.6667, 0.1677), Tb at (0.0000, 0.0000, 0.5000), Cd at (0.0000, 0.0000, 0.0000) and Au at (0.3333, 0.6667, 0.7469).

[18]
VASP calculation (PBE) on an optimized crystal structure of ScPBr2.

The calculation puts the energy relative to the lowest polymorph listed for this composition at 1168 meV per atom. For the volume, the calculation gives 302.3 Å³ per cell.

The structure belongs to space group R-3m (No. 166, hexagonal axes); the cell edges are 3.4753, 3.4753 and 28.9040 Å and the angles 90.00°, 90.00° and 120.00°. The distinct sites, in fractional coordinates, are Sc at (0.0000, 0.0000, 0.0000), P at (0.0000, 0.0000, 0.5000) and Br at (0.0000, 0.0000, 0.0879).

[19]
VASP calculation (PBE) on an optimized crystal structure of AcTeAu.

The calculation puts the energy relative to the lowest polymorph listed for this composition at 46 meV per atom. For the volume, the calculation gives 182.1 Å³ per cell.

The structure belongs to space group I4mm (No. 107); the cell edges are 4.253, 4.253 and 10.067 Å and the angles 90.00°, 90.00° and 90.00°. The distinct sites, in fractional coordinates, are Ac at (0.000, 0.000, 0.000), Te at (0.000, 0.000, 0.666) and Au at (0.000, 0.000, 0.339).

[20]
VASP calculation (PBE) on an optimized crystal structure of Cu8O7.

The calculation puts the energy relative to the lowest polymorph listed for this composition at 157 meV per atom. For the volume, the calculation gives 591.6 Å³ per cell.

The structure belongs to space group Fm-3m (No. 225); the cell edges are 8.395, 8.395 and 8.395 Å and the angles 90.00°, 90.00° and 90.00°. The distinct sites, in fractional coordinates, are Cu at (0.000, 0.000, 0.243), Cu at (0.250, 0.250, 0.250), O at (0.000, 0.000, 0.500) and O at (0.000, 0.250, 0.250).

[21]
VASP calculation (PBE) on an optimized crystal structure of Rb2CeMnS4.

For the volume, the calculation gives 847.8 Å³ per cell.

The structure belongs to space group Imma (No. 74); the cell edges are 8.323, 8.507 and 11.974 Å and the angles 90.00°, 90.00° and 90.00°. The distinct sites, in fractional coordinates, are Rb at (0.000, 0.000, 0.000), Rb at (0.250, 0.250, 0.250), Ce at (0.000, 0.000, 0.500), Mn at (0.250, 0.250, 0.750), S at (0.000, 0.052, 0.730) and S at (0.212, 0.250, 0.517).

How do the records compare in M_tot? In the order shown, they have 0.00, 0.00, 0.00, 0.21, 1.51, 0.00, 0.00, 0.00, 0.00, 0.87, 1.42, 1.01, 0.00, 0.00, 0.00, 2.05, 0.00, 0.00, 0.00, 0.82, 5.06 μB per formula unit.
How do the records compare in electronic total energy? In the order shown, they have -3.601, -3.914, -3.856, -3.251, -4.468, -7.543, -3.499, -4.601, -4.556, -3.795, -2.270, -4.407, -5.576, -4.003, -4.063, -8.678, -3.207, -3.556, -4.524, -4.845, -5.399 eV/atom.